# 1
Computed, not measured: crystalline La2InCuO5 at its relaxed geometry at the PBE level of DFT.

It has space group Cmc2_1 (No. 36), with a = 3.4291 Å, b = 14.0905 Å, c = 10.2029 Å, α = 90.00°, β = 90.00° and γ = 90.00°. The distinct sites, in fractional coordinates, are La at (0.0000, 0.1103, 0.0000), La at (0.0000, 0.1270, 0.6155), In at (0.0000, 0.1978, 0.3172), Cu at (0.0000, 0.4776, 0.7858), O at (0.0000, 0.0496, 0.3840), O at (0.0000, 0.2886, 0.9701), O at (0.0000, 0.3029, 0.6698), O at (0.0000, 0.3529, 0.3161) and O at (0.0000, 0.4992, 0.0949).

The volume comes out at 13.7 Å³ per atom. The energy relative to the elements, uncorrected comes out at -1967 kJ/mol of formula units. The density of states at the Fermi level comes out at 1.435 states/eV/cell.

***

# 2
Computed, not measured: crystalline La2InCuPb at its relaxed geometry at the PBE level of DFT.

It has space group P4/mmm (No. 123), with a = 6.0599 Å, b = 6.0599 Å, c = 5.4865 Å, α = 90.00°, β = 90.00° and γ = 90.00°. The distinct sites, in fractional coordinates, are La at (0.0000, 0.5000, 0.0000), In at (0.0000, 0.0000, 0.0000), Cu at (0.5000, 0.5000, 0.5000) and Pb at (0.0000, 0.0000, 0.5000).

The volume comes out at 40.3 Å³ per atom. The total energy is -17.48 eV/cell. The density of states at the Fermi level comes out at 6.097 states/eV/cell.

***

# 3
Computed, not measured: crystalline La2In6CuPd at its relaxed geometry at the PBE level of DFT.

It has space group Fm-3m (No. 225), with a = 10.2431 Å, b = 10.2431 Å, c = 10.2431 Å, α = 90.00°, β = 90.00° and γ = 90.00°. The distinct sites, in fractional coordinates, are La at (0.2500, 0.2500, 0.2500), In at (0.0000, 0.0000, 0.2445), Cu at (0.0000, 0.0000, 0.0000) and Pd at (0.0000, 0.0000, 0.5000).

The volume comes out at 26.9 Å³ per atom. The total energy is -151.56 eV/cell. The density of states at the Fermi level comes out at 20.070 states/eV/cell.

***

# 4
Computed, not measured: crystalline La2InCu2Pd5 at its relaxed geometry at the PBE level of DFT.

It has space group P4/mbm (No. 127), with a = 9.7725 Å, b = 9.7725 Å, c = 3.9270 Å, α = 90.00°, β = 90.00° and γ = 90.00°. The distinct sites, in fractional coordinates, are La at (0.1758, 0.3242, 0.0000), In at (0.0000, 0.0000, 0.0000), Cu at (0.1214, 0.6214, 0.0000), Pd at (0.0000, 0.5000, 0.5000) and Pd at (0.0665, 0.7909, 0.5000).

The volume comes out at 18.8 Å³ per atom. The total energy is -106.39 eV/cell. The density of states at the Fermi level comes out at 7.043 states/eV/cell.

***

# 5
Computed, not measured: crystalline LaPmInCu at its relaxed geometry at the PBE level of DFT.

It has space group F-43m (No. 216), with a = 7.5906 Å, b = 7.5906 Å, c = 7.5906 Å, α = 90.00°, β = 90.00° and γ = 90.00°. The distinct sites, in fractional coordinates, are La at (0.0000, 0.0000, 0.0000), Pm at (0.0000, 0.0000, 0.5000), In at (0.2500, 0.2500, 0.7500) and Cu at (0.2500, 0.2500, 0.2500).

The volume comes out at 27.3 Å³ per atom. The total energy is -70.28 eV/cell. The density of states at the Fermi level comes out at 18.312 states/eV/cell.

***

# 6
Computed, not measured: crystalline LaIn2CuPt4 at its relaxed geometry at the PBE level of DFT.

It has space group R-3m (No. 166, hexagonal axes), with a = 4.5343 Å, b = 4.5343 Å, c = 26.2272 Å, α = 90.00°, β = 90.00° and γ = 120.00°. The distinct sites, in fractional coordinates, are La at (0.0000, 0.0000, 0.0000), In at (0.0000, 0.0000, 0.2387), Cu at (0.0000, 0.0000, 0.5000), Pt at (0.0000, 0.0000, 0.1319) and Pt at (0.0000, 0.0000, 0.4013).

The volume comes out at 19.5 Å³ per atom. The total energy is -130.19 eV/cell. The density of states at the Fermi level comes out at 12.185 states/eV/cell.

***

# 7
Computed, not measured: crystalline La2In6CuPt at its relaxed geometry at the PBE level of DFT.

It has space group Fm-3m (No. 225), with a = 10.2634 Å, b = 10.2634 Å, c = 10.2634 Å, α = 90.00°, β = 90.00° and γ = 90.00°. The distinct sites, in fractional coordinates, are La at (0.2500, 0.2500, 0.2500), In at (0.0000, 0.0000, 0.2434), Cu at (0.0000, 0.0000, 0.0000) and Pt at (0.0000, 0.0000, 0.5000).

The volume comes out at 27.0 Å³ per atom. The total energy is -154.77 eV/cell. The density of states at the Fermi level comes out at 17.838 states/eV/cell.

***

# 8
Computed, not measured: crystalline La2InCu2Rh5 at its relaxed geometry at the PBE level of DFT.

It has space group P4/mbm (No. 127), with a = 9.5827 Å, b = 9.5827 Å, c = 3.8915 Å, α = 90.00°, β = 90.00° and γ = 90.00°. The distinct sites, in fractional coordinates, are La at (0.1772, 0.3228, 0.0000), In at (0.0000, 0.0000, 0.0000), Cu at (0.1192, 0.6192, 0.0000), Rh at (0.0000, 0.5000, 0.5000) and Rh at (0.0687, 0.7901, 0.5000).

The volume comes out at 17.9 Å³ per atom. The total energy is -124.17 eV/cell. The density of states at the Fermi level comes out at 17.252 states/eV/cell.